Density functional theory data (PBE) for Lu4ZnBiN2 after structural relaxation.

Properties
Total DFT energy (no corrections) ... -6.0360 eV/atom

Cell and atoms, written as CIF:
```
data_Lu4ZnBiN2
_cell_length_a 3.4724
_cell_length_b 3.4724
_cell_length_c 14.5307
_cell_angle_alpha 90.00
_cell_angle_beta 90.00
_cell_angle_gamma 120.00
_space_group_name_H-M_alt 'P -6 m 2'
_space_group_IT_number 187
_space_group_name_Hall 'P -6 2'
loop_
_atom_site_label
_atom_site_type_symbol
_atom_site_fract_x
_atom_site_fract_y
_atom_site_fract_z
_atom_site_occupancy
Lu1 Lu 0.0000 0.0000 0.1514 1
Lu2 Lu 0.3333 0.6667 0.3273 1
Zn1 Zn 0.3333 0.6667 0.0000 1
Bi1 Bi 0.0000 0.0000 0.5000 1
N1 N 0.6667 0.3333 0.2479 1
```

=====

Density functional theory data (PBE) for Y3In3AgPtAu after structural relaxation.

Properties
Total DFT energy (no corrections) ... -5.1783 eV/atom

Cell and atoms, written as CIF:
```
data_Y3In3AgPtAu
_cell_length_a 7.8286
_cell_length_b 7.8286
_cell_length_c 3.8796
_cell_angle_alpha 90.00
_cell_angle_beta 90.00
_cell_angle_gamma 120.00
_space_group_name_H-M_alt 'P -6'
_space_group_IT_number 174
loop_
_space_group_symop_operation_xyz
'x,y,z'
'-x+y,-x,-z'
'-y,x-y,z'
'x,y,-z'
'-x+y,-x,z'
'-y,x-y,-z'
loop_
_atom_site_label
_atom_site_type_symbol
_atom_site_fract_x
_atom_site_fract_y
_atom_site_fract_z
_atom_site_occupancy
Y1 Y 0.0120 0.4152 0.0000 1
In1 In 0.0006 0.7364 0.5000 1
Ag1 Ag 0.0000 0.0000 0.0000 1
Pt1 Pt 0.3333 0.6667 0.5000 1
Au1 Au 0.6667 0.3333 0.5000 1
```

=====

Density functional theory data (PBE) for CdReHg2 after structural relaxation.

Properties
Energy of formation ... 1000.8 meV/atom

Cell and atoms, written as CIF:
```
data_CdReHg2
_cell_length_a 6.827
_cell_length_b 6.827
_cell_length_c 6.827
_cell_angle_alpha 90.00
_cell_angle_beta 90.00
_cell_angle_gamma 90.00
_space_group_name_H-M_alt 'F -4 3 m'
_space_group_IT_number 216
_space_group_name_Hall 'F -4 2 3'
loop_
_atom_site_label
_atom_site_type_symbol
_atom_site_fract_x
_atom_site_fract_y
_atom_site_fract_z
_atom_site_occupancy
Cd1 Cd 0.000 0.000 0.000 1
Re1 Re 0.250 0.250 0.750 1
Hg1 Hg 0.000 0.000 0.500 1
Hg2 Hg 0.250 0.250 0.250 1
```